Entry 1:
# SrBi2O4 | the Alexandria database | PBE-GGA | relaxed
# Energy relative to the elements, uncorrected in eV/atom: -1.720
# Theoretical density in g/cm3: 6.7
data_SrBi2O4
_symmetry_space_group_name_H-M 'C 1 2/m 1'
_symmetry_Int_Tables_number 12
_symmetry_space_group_name_Hall '-C 2y'
_cell_length_a 20.278
_cell_length_b 4.378
_cell_length_c 6.489
_cell_angle_alpha 90.00
_cell_angle_beta 99.12
_cell_angle_gamma 90.00
loop_
_atom_site_label
_atom_site_type_symbol
_atom_site_fract_x
_atom_site_fract_y
_atom_site_fract_z
_atom_site_occupancy
Sr1 Sr 0.242 0.000 0.253 1
Bi1 Bi 0.087 0.500 0.269 1
Bi2 Bi 0.096 0.000 0.835 1
O1 O 0.087 0.500 0.934 1
O2 O 0.098 0.000 0.172 1
O3 O 0.187 0.500 0.392 1
O4 O 0.198 0.000 0.862 1

***

Entry 2:
# Sr2BiO | the Alexandria database | PBE-GGA | relaxed
# Energy relative to the lowest polymorph listed for this composition in kJ/mol of atoms: 78.6
# Energy relative to the elements, uncorrected in eV/atom: -0.832
# Theoretical density in g/cm3: 5.8
data_Sr2BiO
_symmetry_space_group_name_H-M 'F m -3 m'
_symmetry_Int_Tables_number 225
_symmetry_space_group_name_Hall '-F 4 2 3'
_cell_length_a 7.726
_cell_length_b 7.726
_cell_length_c 7.726
_cell_angle_alpha 90.00
_cell_angle_beta 90.00
_cell_angle_gamma 90.00
loop_
_atom_site_label
_atom_site_type_symbol
_atom_site_fract_x
_atom_site_fract_y
_atom_site_fract_z
_atom_site_occupancy
Sr1 Sr 0.250 0.250 0.250 1
Bi1 Bi 0.000 0.000 0.000 1
O1 O 0.000 0.000 0.500 1

***

Entry 3:
# Sr3BiO | the Alexandria database | PBE-GGA | relaxed
# Energy relative to the lowest polymorph listed for this composition in kJ/mol of atoms: 1.8
# Energy relative to the elements, uncorrected in eV/atom: -1.452
# Theoretical density in g/cm3: 5.1
data_Sr3BiO
_symmetry_space_group_name_H-M 'I m m a'
_symmetry_Int_Tables_number 74
_symmetry_space_group_name_Hall '-I 2b 2'
_cell_length_a 4.919
_cell_length_b 5.207
_cell_length_c 24.973
_cell_angle_alpha 90.00
_cell_angle_beta 90.00
_cell_angle_gamma 90.00
loop_
_atom_site_label
_atom_site_type_symbol
_atom_site_fract_x
_atom_site_fract_y
_atom_site_fract_z
_atom_site_occupancy
Sr1 Sr 0.000 0.250 0.058 1
Sr2 Sr 0.000 0.250 0.326 1
Sr3 Sr 0.000 0.250 0.832 1
Bi1 Bi 0.000 0.250 0.572 1
O1 O 0.000 0.250 0.157 1

***

Entry 4:
# SrBi2O4 | the Alexandria database | PBE-GGA | relaxed
# Energy relative to the elements, uncorrected in eV/atom: -1.647
# Theoretical density in g/cm3: 6.8
data_SrBi2O4
_symmetry_space_group_name_H-M 'C 1 2 1'
_symmetry_Int_Tables_number 5
_symmetry_space_group_name_Hall 'C 2y'
_cell_length_a 10.354
_cell_length_b 10.304
_cell_length_c 7.322
_cell_angle_alpha 90.00
_cell_angle_beta 134.98
_cell_angle_gamma 90.00
loop_
_atom_site_label
_atom_site_type_symbol
_atom_site_fract_x
_atom_site_fract_y
_atom_site_fract_z
_atom_site_occupancy
Sr1 Sr 0.000 0.000 0.000 1
Sr2 Sr 0.000 0.250 0.500 1
Bi1 Bi 0.023 0.624 0.777 1
Bi2 Bi 0.246 0.874 0.770 1
O1 O 0.019 0.877 0.731 1
O2 O 0.057 0.406 0.801 1
O3 O 0.211 0.628 0.193 1
O4 O 0.243 0.156 0.185 1

***

Entry 5:
# SrBiO4 | the Alexandria database | PBE-GGA | relaxed
# Energy relative to the elements, uncorrected in eV/atom: -1.224
# Theoretical density in g/cm3: 6.9
data_SrBiO4
_symmetry_space_group_name_H-M 'C 1 2/m 1'
_symmetry_Int_Tables_number 12
_symmetry_space_group_name_Hall '-C 2y'
_cell_length_a 5.359
_cell_length_b 5.360
_cell_length_c 6.054
_cell_angle_alpha 90.00
_cell_angle_beta 90.07
_cell_angle_gamma 90.00
loop_
_atom_site_label
_atom_site_type_symbol
_atom_site_fract_x
_atom_site_fract_y
_atom_site_fract_z
_atom_site_occupancy
Sr1 Sr 0.000 0.000 0.000 1
Bi1 Bi 0.000 0.500 0.500 1
O1 O 0.250 0.250 0.284 1

***

Entry 6:
# Sr6BiO8 | the Alexandria database | PBE-GGA | relaxed
# Energy relative to the elements, uncorrected in eV/atom: -2.433
# Theoretical density in g/cm3: 5.2
data_Sr6BiO8
_symmetry_space_group_name_H-M 'F m -3 m'
_symmetry_Int_Tables_number 225
_symmetry_space_group_name_Hall '-F 4 2 3'
_cell_length_a 10.337
_cell_length_b 10.337
_cell_length_c 10.337
_cell_angle_alpha 90.00
_cell_angle_beta 90.00
_cell_angle_gamma 90.00
loop_
_atom_site_label
_atom_site_type_symbol
_atom_site_fract_x
_atom_site_fract_y
_atom_site_fract_z
_atom_site_occupancy
Sr1 Sr 0.000 0.250 0.250 1
Bi1 Bi 0.000 0.000 0.000 1
O1 O 0.000 0.000 0.223 1
O2 O 0.250 0.250 0.250 1

***

Entry 7:
# Sr2BiO4 | the Alexandria database | PBE-GGA | relaxed
# Energy relative to the lowest polymorph listed for this composition in kJ/mol of atoms: 0.0
# Energy relative to the elements, uncorrected in eV/atom: -2.098
# Theoretical density in g/cm3: 6.4
data_Sr2BiO4
_symmetry_space_group_name_H-M 'P b a m'
_symmetry_Int_Tables_number 55
_symmetry_space_group_name_Hall '-P 2 2ab'
_cell_length_a 6.224
_cell_length_b 10.430
_cell_length_c 3.601
_cell_angle_alpha 90.00
_cell_angle_beta 90.00
_cell_angle_gamma 90.00
loop_
_atom_site_label
_atom_site_type_symbol
_atom_site_fract_x
_atom_site_fract_y
_atom_site_fract_z
_atom_site_occupancy
Sr1 Sr 0.072 0.181 0.000 1
Bi1 Bi 0.000 0.500 0.500 1
O1 O 0.139 0.698 0.500 1
O2 O 0.226 0.453 0.000 1

***

Entry 8:
# Sr2BiO4 | the Alexandria database | PBE-GGA | relaxed
# Energy relative to the lowest polymorph listed for this composition in kJ/mol of atoms: 10.7
# Energy relative to the elements, uncorrected in eV/atom: -1.988
# Theoretical density in g/cm3: 6.1
data_Sr2BiO4
_symmetry_space_group_name_H-M 'C 1 2/m 1'
_symmetry_Int_Tables_number 12
_symmetry_space_group_name_Hall '-C 2y'
_cell_length_a 12.115
_cell_length_b 3.592
_cell_length_c 6.360
_cell_angle_alpha 90.00
_cell_angle_beta 118.55
_cell_angle_gamma 90.00
loop_
_atom_site_label
_atom_site_type_symbol
_atom_site_fract_x
_atom_site_fract_y
_atom_site_fract_z
_atom_site_occupancy
Sr1 Sr 0.187 0.000 0.176 1
Bi1 Bi 0.000 0.500 0.500 1
O1 O 0.114 0.500 0.895 1
O2 O 0.128 0.000 0.507 1

***

Entry 9:
# Sr3BiO6 | the Alexandria database | PBE-GGA | relaxed
# Energy relative to the elements, uncorrected in eV/atom: -2.015
# Theoretical density in g/cm3: 5.7
data_Sr3BiO6
_symmetry_space_group_name_H-M 'P 1 21/c 1'
_symmetry_Int_Tables_number 14
_symmetry_space_group_name_Hall '-P 2ybc'
_cell_length_a 6.085
_cell_length_b 6.323
_cell_length_c 10.561
_cell_angle_alpha 90.00
_cell_angle_beta 124.84
_cell_angle_gamma 90.00
loop_
_atom_site_label
_atom_site_type_symbol
_atom_site_fract_x
_atom_site_fract_y
_atom_site_fract_z
_atom_site_occupancy
Sr1 Sr 0.000 0.000 0.000 1
Sr2 Sr 0.224 0.053 0.744 1
Bi1 Bi 0.500 0.000 0.500 1
O1 O 0.165 0.187 0.445 1
O2 O 0.242 0.727 0.422 1
O3 O 0.397 0.064 0.272 1

***

Entry 10:
# Sr2BiO | the Alexandria database | PBE-GGA | relaxed
# Energy relative to the lowest polymorph listed for this composition in kJ/mol of atoms: 35.4
# Energy relative to the elements, uncorrected in eV/atom: -1.279
# Theoretical density in g/cm3: 5.6
data_Sr2BiO
_symmetry_space_group_name_H-M 'C m m m'
_symmetry_Int_Tables_number 65
_symmetry_space_group_name_Hall '-C 2 2'
_cell_length_a 8.519
_cell_length_b 10.728
_cell_length_c 5.162
_cell_angle_alpha 90.00
_cell_angle_beta 90.00
_cell_angle_gamma 90.00
loop_
_atom_site_label
_atom_site_type_symbol
_atom_site_fract_x
_atom_site_fract_y
_atom_site_fract_z
_atom_site_occupancy
Sr1 Sr 0.000 0.000 0.000 1
Sr2 Sr 0.000 0.500 0.500 1
Sr3 Sr 0.250 0.250 0.000 1
Bi1 Bi 0.000 0.193 0.500 1
O1 O 0.216 0.500 0.000 1

***

Entry 11:
# Sr2BiO | the Alexandria database | PBE-GGA | relaxed
# Energy relative to the lowest polymorph listed for this composition in kJ/mol of atoms: 5.8
# Energy relative to the elements, uncorrected in eV/atom: -1.586
# Theoretical density in g/cm3: 5.3
data_Sr2BiO
_symmetry_space_group_name_H-M 'I -4 2 d'
_symmetry_Int_Tables_number 122
_symmetry_space_group_name_Hall 'I -4 2bw'
_cell_length_a 7.464
_cell_length_b 7.464
_cell_length_c 8.953
_cell_angle_alpha 90.00
_cell_angle_beta 90.00
_cell_angle_gamma 90.00
loop_
_atom_site_label
_atom_site_type_symbol
_atom_site_fract_x
_atom_site_fract_y
_atom_site_fract_z
_atom_site_occupancy
Sr1 Sr 0.136 0.750 0.125 1
Bi1 Bi 0.000 0.000 0.500 1
O1 O 0.000 0.000 0.000 1

***

Entry 12:
# Sr2TaBiO6 | the Alexandria database | PBE-GGA | relaxed
# Energy relative to the elements, uncorrected in eV/atom: -2.482
# Theoretical density in g/cm3: 6.5
data_Sr2TaBiO6
_symmetry_space_group_name_H-M 'P 4 m m'
_symmetry_Int_Tables_number 99
_symmetry_space_group_name_Hall 'P 4 -2'
_cell_length_a 5.874
_cell_length_b 5.874
_cell_length_c 4.912
_cell_angle_alpha 90.00
_cell_angle_beta 90.00
_cell_angle_gamma 90.00
loop_
_atom_site_label
_atom_site_type_symbol
_atom_site_fract_x
_atom_site_fract_y
_atom_site_fract_z
_atom_site_occupancy
Sr1 Sr 0.000 0.500 0.000 1
Ta1 Ta 0.000 0.000 0.586 1
Bi1 Bi 0.500 0.500 0.579 1
O1 O 0.000 0.000 0.208 1
O2 O 0.227 0.227 0.700 1
O3 O 0.500 0.500 0.134 1